Density functional theory data (PBE-GGA) for an optimized crystal structure of Cs6Rb2Br3. Values from VASP.

Cell and atoms, written as Quantum ESPRESSO input:
```
&SYSTEM
  ibrav = 0, nat = 11, ntyp = 3
/
ATOMIC_SPECIES
Br 79.90 Br.upf
Rb 85.47 Rb.upf
Cs 132.91 Cs.upf
CELL_PARAMETERS angstrom
5.217 0.000 0.517
2.583 4.532 0.517
-0.788 -0.458 34.522
ATOMIC_POSITIONS angstrom
Br 0.000 0.000 0.000
Br 4.833 2.808 30.959
Br 2.178 1.266 4.597
Rb 2.866 1.665 24.229
Rb 4.145 2.409 11.327
Cs 7.170 4.167 7.387
Cs 2.021 1.174 32.757
Cs -0.159 -0.092 28.170
Cs 5.885 3.420 20.348
Cs 4.990 2.900 2.800
Cs 1.126 0.655 15.208
```

Properties
raw formation energy	-10.6	eV per formula unit
density of states at the Fermi level	5.22	states/eV/cell